# PBE ZnIn14Ga, optimized geometry
data_ZnIn14Ga
_cell_length_a 9.1097
_cell_length_b 10.1777
_cell_length_c 8.9400
_cell_angle_alpha 90.00
_cell_angle_beta 90.00
_cell_angle_gamma 90.00
_space_group_name_H-M_alt 'C m m m'
_space_group_IT_number 65
_space_group_name_Hall '-C 2 2'
loop_
_atom_site_label
_atom_site_type_symbol
_atom_site_fract_x
_atom_site_fract_y
_atom_site_fract_z
_atom_site_occupancy
Zn1 Zn 0.0000 0.0000 0.0000 1
In1 In 0.0000 0.0000 0.5000 1
In2 In 0.0000 0.2527 0.2446 1
In3 In 0.0000 0.5000 0.5000 1
In4 In 0.2436 0.0000 0.2347 1
In5 In 0.2500 0.2500 0.0000 1
In6 In 0.2500 0.2500 0.5000 1
Ga1 Ga 0.0000 0.5000 0.0000 1
# Calculated total energy (eV per atom): -2.6256
# Total moment (μB per formula unit): 0.00
# ΔE_f (meV per atom): 39.3

# PBE Zn2InGa6, optimized geometry
data_Zn2InGa6
_cell_length_a 4.1271
_cell_length_b 4.1271
_cell_length_c 10.1810
_cell_angle_alpha 90.00
_cell_angle_beta 90.00
_cell_angle_gamma 90.00
_space_group_name_H-M_alt 'P 4/m m m'
_space_group_IT_number 123
_space_group_name_Hall '-P 4 2'
loop_
_atom_site_label
_atom_site_type_symbol
_atom_site_fract_x
_atom_site_fract_y
_atom_site_fract_z
_atom_site_occupancy
Zn1 Zn 0.0000 0.0000 0.1214 1
In1 In 0.5000 0.5000 0.0000 1
Ga1 Ga 0.0000 0.0000 0.5000 1
Ga2 Ga 0.0000 0.5000 0.2900 1
Ga3 Ga 0.5000 0.5000 0.5000 1
# Calculated total energy (eV per atom): -2.5621
# Total moment (μB per formula unit): 0.00
# ΔE_f (meV per atom): 43.2

# PBE Zn2In2Ga15, optimized geometry
data_Zn2In2Ga15
_cell_length_a 9.1018
_cell_length_b 9.1018
_cell_length_c 15.9581
_cell_angle_alpha 90.00
_cell_angle_beta 90.00
_cell_angle_gamma 120.00
_space_group_name_H-M_alt 'R -3 m'
_space_group_IT_number 166
_space_group_name_Hall '-R 3 2"'
loop_
_atom_site_label
_atom_site_type_symbol
_atom_site_fract_x
_atom_site_fract_y
_atom_site_fract_z
_atom_site_occupancy
Zn1 Zn 0.0000 0.0000 0.1140 1
In1 In 0.0000 0.0000 0.3096 1
Ga1 Ga 0.0000 0.2846 0.0000 1
Ga2 Ga 0.0000 0.5000 0.5000 1
Ga3 Ga 0.0436 0.5218 0.1190 1
# Calculated total energy (eV per atom): -2.7498
# Total moment (μB per formula unit): 0.00
# ΔE_f (meV per atom): 62.2

# PBE ZnInGa2, optimized geometry
data_ZnInGa2
_cell_length_a 4.4854
_cell_length_b 4.4854
_cell_length_c 17.0449
_cell_angle_alpha 90.00
_cell_angle_beta 90.00
_cell_angle_gamma 90.00
_space_group_name_H-M_alt 'I -4 2 d'
_space_group_IT_number 122
_space_group_name_Hall 'I -4 2bw'
loop_
_atom_site_label
_atom_site_type_symbol
_atom_site_fract_x
_atom_site_fract_y
_atom_site_fract_z
_atom_site_occupancy
Zn1 Zn 0.0000 0.0000 0.0000 1
In1 In 0.0000 0.0000 0.5000 1
Ga1 Ga 0.1881 0.2500 0.1250 1
# Calculated total energy (eV per atom): -2.4201
# Total moment (μB per formula unit): 0.00
# ΔE_f (meV per atom): 96.4

# PBE ZnInGa3, optimized geometry
data_ZnInGa3
_cell_length_a 5.3200
_cell_length_b 5.3200
_cell_length_c 5.3200
_cell_angle_alpha 90.00
_cell_angle_beta 90.00
_cell_angle_gamma 90.00
_space_group_name_H-M_alt 'P m -3 m'
_space_group_IT_number 221
_space_group_name_Hall '-P 4 2 3'
loop_
_atom_site_label
_atom_site_type_symbol
_atom_site_fract_x
_atom_site_fract_y
_atom_site_fract_z
_atom_site_occupancy
Zn1 Zn 0.0000 0.0000 0.0000 1
In1 In 0.5000 0.5000 0.5000 1
Ga1 Ga 0.0000 0.5000 0.5000 1
# Calculated total energy (eV per atom): -2.0274
# Total moment (μB per formula unit): 0.00
# ΔE_f (meV per atom): 591.2

# PBE Zn11InGa, optimized geometry
data_Zn11InGa
_cell_length_a 5.4293
_cell_length_b 12.6490
_cell_length_c 6.8845
_cell_angle_alpha 90.00
_cell_angle_beta 112.64
_cell_angle_gamma 90.00
_space_group_name_H-M_alt 'C 1 2/m 1'
_space_group_IT_number 12
loop_
_space_group_symop_operation_xyz
'x,y,z'
'-x,-y,-z'
'-x,y,-z'
'x,-y,z'
'x+1/2,y+1/2,z'
'-x+1/2,-y+1/2,-z'
'-x+1/2,y+1/2,-z'
'x+1/2,-y+1/2,z'
loop_
_atom_site_label
_atom_site_type_symbol
_atom_site_fract_x
_atom_site_fract_y
_atom_site_fract_z
_atom_site_occupancy
Zn1 Zn 0.0000 0.0000 0.0000 1
Zn2 Zn 0.1118 0.3884 0.7190 1
Zn3 Zn 0.1608 0.1772 0.8512 1
Zn4 Zn 0.2500 0.2500 0.5000 1
In1 In 0.0000 0.0000 0.5000 1
Ga1 Ga 0.0000 0.5000 0.0000 1
# Calculated total energy (eV per atom): -1.4579
# Total moment (μB per formula unit): 0.00
# ΔE_f (meV per atom): 63.6

# PBE ZnIn6Ga3, optimized geometry
data_ZnIn6Ga3
_cell_length_a 8.8373
_cell_length_b 6.0638
_cell_length_c 12.1494
_cell_angle_alpha 90.00
_cell_angle_beta 132.79
_cell_angle_gamma 90.00
_space_group_name_H-M_alt 'P 1 21/c 1'
_space_group_IT_number 14
loop_
_space_group_symop_operation_xyz
'x,y,z'
'-x,-y,-z'
'-x,y+1/2,-z+1/2'
'x,-y+1/2,z+1/2'
loop_
_atom_site_label
_atom_site_type_symbol
_atom_site_fract_x
_atom_site_fract_y
_atom_site_fract_z
_atom_site_occupancy
Zn1 Zn 0.0000 0.0000 0.0000 1
In1 In 0.1076 0.1010 0.6759 1
In2 In 0.2620 0.5976 0.8238 1
In3 In 0.3972 0.7225 0.1492 1
Ga1 Ga 0.2370 0.2479 0.9910 1
Ga2 Ga 0.5000 0.0000 0.0000 1
# Calculated total energy (eV per atom): -2.6277
# Total moment (μB per formula unit): 0.00
# ΔE_f (meV per atom): 50.9

# PBE Zn6InGa8, optimized geometry
data_Zn6InGa8
_cell_length_a 8.2350
_cell_length_b 8.2350
_cell_length_c 14.2128
_cell_angle_alpha 90.00
_cell_angle_beta 90.00
_cell_angle_gamma 120.00
_space_group_name_H-M_alt 'R -3'
_space_group_IT_number 148
_space_group_name_Hall '-R 3'
loop_
_atom_site_label
_atom_site_type_symbol
_atom_site_fract_x
_atom_site_fract_y
_atom_site_fract_z
_atom_site_occupancy
Zn1 Zn 0.0051 0.8069 0.1322 1
In1 In 0.0000 0.0000 0.5000 1
Ga1 Ga 0.0000 0.0000 0.2889 1
Ga2 Ga 0.0058 0.6852 0.6315 1
# Calculated total energy (eV per atom): -2.2596
# Total moment (μB per formula unit): 0.00
# ΔE_f (meV per atom): 46.9

# PBE Zn2In3Ga4, optimized geometry
data_Zn2In3Ga4
_cell_length_a 4.2166
_cell_length_b 6.1533
_cell_length_c 8.3343
_cell_angle_alpha 107.05
_cell_angle_beta 91.98
_cell_angle_gamma 108.96
_space_group_name_H-M_alt 'P -1'
_space_group_IT_number 2
loop_
_space_group_symop_operation_xyz
'x,y,z'
'-x,-y,-z'
loop_
_atom_site_label
_atom_site_type_symbol
_atom_site_fract_x
_atom_site_fract_y
_atom_site_fract_z
_atom_site_occupancy
Zn1 Zn 0.2072 0.4339 0.2376 1
In1 In 0.1286 0.2539 0.8775 1
In2 In 0.5000 0.0000 0.5000 1
Ga1 Ga 0.1918 0.3762 0.5494 1
Ga2 Ga 0.4441 0.8695 0.8276 1
# Calculated total energy (eV per atom): -2.4861
# Total moment (μB per formula unit): 0.00
# ΔE_f (meV per atom): 55.1

# PBE Zn2InGa6, optimized geometry
data_Zn2InGa6
_cell_length_a 5.1641
_cell_length_b 11.1349
_cell_length_c 6.1934
_cell_angle_alpha 90.00
_cell_angle_beta 95.59
_cell_angle_gamma 90.00
_space_group_name_H-M_alt 'C 1 2/m 1'
_space_group_IT_number 12
loop_
_space_group_symop_operation_xyz
'x,y,z'
'-x,-y,-z'
'-x,y,-z'
'x,-y,z'
'x+1/2,y+1/2,z'
'-x+1/2,-y+1/2,-z'
'-x+1/2,y+1/2,-z'
'x+1/2,-y+1/2,z'
loop_
_atom_site_label
_atom_site_type_symbol
_atom_site_fract_x
_atom_site_fract_y
_atom_site_fract_z
_atom_site_occupancy
Zn1 Zn 0.0000 0.1178 0.0000 1
In1 In 0.0000 0.0000 0.5000 1
Ga1 Ga 0.0694 0.5000 0.7895 1
Ga2 Ga 0.1345 0.2860 0.2963 1
# Calculated total energy (eV per atom): -2.5578
# Total moment (μB per formula unit): 0.00
# ΔE_f (meV per atom): 47.5

# PBE Zn2InGa8, optimized geometry
data_Zn2InGa8
_cell_length_a 6.0240
_cell_length_b 11.5116
_cell_length_c 6.4163
_cell_angle_alpha 90.00
_cell_angle_beta 107.16
_cell_angle_gamma 90.00
_space_group_name_H-M_alt 'C 1 m 1'
_space_group_IT_number 8
loop_
_space_group_symop_operation_xyz
'x,y,z'
'x,-y,z'
'x+1/2,y+1/2,z'
'x+1/2,-y+1/2,z'
loop_
_atom_site_label
_atom_site_type_symbol
_atom_site_fract_x
_atom_site_fract_y
_atom_site_fract_z
_atom_site_occupancy
Zn1 Zn 0.0000 0.1175 0.0000 1
In1 In 0.1639 0.5000 0.5821 1
Ga1 Ga 0.0324 0.0000 0.3628 1
Ga2 Ga 0.0908 0.3755 0.1046 1
Ga3 Ga 0.1746 0.2457 0.7393 1
Ga4 Ga 0.2610 0.0000 0.7872 1
Ga5 Ga 0.3201 0.1988 0.3695 1
# Calculated total energy (eV per atom): -2.6507
# Total moment (μB per formula unit): 0.00
# ΔE_f (meV per atom): 31.2

# PBE ZrZnInGa, optimized geometry
data_ZrZnInGa
_cell_length_a 4.1337
_cell_length_b 4.1742
_cell_length_c 4.3393
_cell_angle_alpha 90.00
_cell_angle_beta 90.00
_cell_angle_gamma 90.00
_space_group_name_H-M_alt 'P m m m'
_space_group_IT_number 47
loop_
_space_group_symop_operation_xyz
'x,y,z'
'-x,-y,-z'
'-x,-y,z'
'x,y,-z'
'x,-y,-z'
'-x,y,z'
'-x,y,-z'
'x,-y,z'
loop_
_atom_site_label
_atom_site_type_symbol
_atom_site_fract_x
_atom_site_fract_y
_atom_site_fract_z
_atom_site_occupancy
Zr1 Zr 0.0000 0.0000 0.0000 1
Zn1 Zn 0.5000 0.0000 0.5000 1
In1 In 0.0000 0.5000 0.5000 1
Ga1 Ga 0.5000 0.5000 0.0000 1
# Calculated total energy (eV per atom): -4.2465
# Total moment (μB per formula unit): 0.00
# ΔE_f (meV per atom): -349.6